Ca12Ga2Sn5: relaxed, PBE.

```
Ca12Ga2Sn5
1.0
8.7941 -3.7992 0.0000
8.7941 3.7992 0.0000
-3.3791 0.0000 10.1546
Ca Ga Sn
12 2 5
Cartesian
-0.4850 0.0000 1.9356
2.6359 1.9511 9.0896
4.6176 1.9291 4.5681
9.5916 1.9291 5.5865
6.6119 0.0000 2.0524
11.5733 1.9511 1.0650
2.6359 -1.9511 9.0896
7.5973 0.0000 8.1022
4.6176 -1.9291 4.5681
9.5916 -1.9291 5.5865
11.5733 -1.9511 1.0650
14.6942 0.0000 8.2190
8.7941 1.1914 0.0000
8.7941 -1.1914 0.0000
0.2032 0.0000 8.4998
2.2811 0.0000 3.5136
7.1046 0.0000 5.0773
11.9280 0.0000 6.6410
14.0059 0.0000 1.6548
```

Properties
**Volume**: 35.713 Å³ per atom
**Total DFT energy (no corrections)**: -3.10 eV per atom